## a
ZrNb2Os | the Alexandria database | PBE-GGA | relaxed; magnetization = 0.00 μB/f.u.
1.0
6.553 0.000 0.000
0.000 6.553 0.000
0.000 0.000 6.553
Zr Nb Os
4 8 4
Direct
0.000 0.000 0.000
0.000 0.500 0.500
0.500 0.000 0.500
0.500 0.500 0.000
0.250 0.250 0.250
0.250 0.250 0.750
0.250 0.750 0.250
0.250 0.750 0.750
0.750 0.250 0.250
0.750 0.250 0.750
0.750 0.750 0.250
0.750 0.750 0.750
0.000 0.000 0.500
0.000 0.500 0.000
0.500 0.000 0.000
0.500 0.500 0.500

=====

## b
ZrNb2Os | the Alexandria database | PBE-GGA | relaxed; magnetization = 0.00 μB/f.u.
1.0
7.599 0.000 0.000
0.000 7.599 0.000
0.000 0.000 5.522
Zr Nb Os
4 8 4
Direct
0.000 0.000 0.000
0.000 0.500 0.250
0.500 0.000 0.750
0.500 0.500 0.500
0.209 0.250 0.625
0.250 0.709 0.875
0.250 0.791 0.375
0.291 0.250 0.125
0.709 0.750 0.125
0.750 0.209 0.375
0.750 0.291 0.875
0.791 0.750 0.625
0.000 0.000 0.500
0.000 0.500 0.750
0.500 0.000 0.250
0.500 0.500 0.000

=====

## c
ZrNb2Os | the Alexandria database | PBE-GGA | relaxed; magnetization = 0.00 μB/f.u.
1.0
3.233 0.000 0.000
0.000 3.233 0.000
0.000 0.000 6.942
Zr Nb Os
1 2 1
Direct
0.000 0.000 0.000
0.500 0.500 0.271
0.500 0.500 0.729
0.000 0.000 0.500

=====

a ends up most stable, edging out the next structure by 54 meV/atom.

=====

## a
ZrNb3Os | the Alexandria database | PBE-GGA | relaxed; magnetization = 0.00 μB/f.u.
1.0
4.774 0.000 0.000
0.000 4.774 0.000
0.000 0.000 4.774
Zr Nb Os
1 3 1
Direct
0.000 0.000 0.000
0.000 0.000 0.500
0.000 0.500 0.000
0.500 0.000 0.000
0.500 0.500 0.500

=====

## b
ZrNb3Os | the Alexandria database | PBE-GGA | relaxed; magnetization = 0.00 μB/f.u.
1.0
4.866 0.000 0.000
0.000 4.866 0.000
0.000 0.000 4.866
Zr Nb Os
1 3 1
Direct
0.000 0.000 0.000
0.000 0.500 0.500
0.500 0.000 0.500
0.500 0.500 0.000
0.500 0.500 0.500

=====

b ends up most stable, edging out the next structure by 1245 meV/atom.

=====

## a
Nb2PPb | the Alexandria database | PBE-GGA | relaxed; magnetization = 0.00 μB/f.u.
1.0
6.638 0.000 0.000
0.000 6.638 0.000
0.000 0.000 6.638
Nb P Pb
8 4 4
Direct
0.250 0.250 0.250
0.250 0.250 0.750
0.250 0.750 0.250
0.250 0.750 0.750
0.750 0.250 0.250
0.750 0.250 0.750
0.750 0.750 0.250
0.750 0.750 0.750
0.000 0.000 0.000
0.000 0.500 0.500
0.500 0.000 0.500
0.500 0.500 0.000
0.000 0.000 0.500
0.000 0.500 0.000
0.500 0.000 0.000
0.500 0.500 0.500

=====

## b
Nb2PPb | the Alexandria database | PBE-GGA | relaxed; magnetization = 0.00 μB/f.u.
1.0
4.117 0.000 0.000
0.000 4.117 0.000
0.000 0.000 19.326
Nb P Pb
8 4 4
Direct
0.221 0.250 0.125
0.250 0.721 0.375
0.250 0.779 0.875
0.279 0.250 0.625
0.721 0.750 0.625
0.750 0.221 0.875
0.750 0.279 0.375
0.779 0.750 0.125
0.000 0.000 0.000
0.000 0.500 0.250
0.500 0.000 0.750
0.500 0.500 0.500
0.000 0.000 0.500
0.000 0.500 0.750
0.500 0.000 0.250
0.500 0.500 0.000

=====

a ends up most stable, edging out the next structure by 247 meV/atom.

=====

## a
NbP2Pb2 | the Alexandria database | PBE-GGA | relaxed; magnetization = 0.00 μB/f.u.
1.0
3.153 0.000 0.000
0.000 3.153 0.000
0.000 0.000 24.863
Nb P Pb
2 4 4
Direct
0.000 0.000 0.000
0.500 0.500 0.500
0.000 0.500 0.250
0.000 0.500 0.750
0.500 0.000 0.250
0.500 0.000 0.750
0.000 0.000 0.405
0.000 0.000 0.595
0.500 0.500 0.095
0.500 0.500 0.905

=====

## b
NbP2Pb2 | the Alexandria database | PBE-GGA | relaxed; magnetization = 0.00 μB/f.u.
1.0
7.706 0.000 0.000
0.000 7.706 0.000
0.000 0.000 3.790
Nb P Pb
2 4 4
Direct
0.000 0.000 0.000
0.500 0.500 0.000
0.182 0.318 0.500
0.318 0.818 0.500
0.682 0.182 0.500
0.818 0.682 0.500
0.140 0.640 0.000
0.360 0.140 0.000
0.640 0.860 0.000
0.860 0.360 0.000

=====

a ends up most stable, edging out the next structure by 309 meV/atom.

=====

## a
NbP2PbS | the Alexandria database | PBE-GGA | relaxed; magnetization = 0.00 μB/f.u.
1.0
5.010 0.000 0.000
0.000 5.010 0.000
0.000 0.000 5.028
Nb P Pb S
1 2 1 1
Direct
0.000 0.000 0.000
0.000 0.500 0.500
0.500 0.000 0.500
0.500 0.500 0.500
0.500 0.500 0.000

=====

## b
NbP2PbS | the Alexandria database | PBE-GGA | relaxed; magnetization = 0.00 μB/f.u.
1.0
4.916 0.000 0.000
0.000 4.916 0.000
0.000 0.000 4.799
Nb P Pb S
1 2 1 1
Direct
0.000 0.000 0.000
0.000 0.500 0.000
0.500 0.000 0.000
0.500 0.500 0.500
0.000 0.000 0.500

=====

b ends up most stable, edging out the next structure by 1598 meV/atom.

=====

## a
NbPPbS2 | the Alexandria database | PBE-GGA | relaxed; magnetization = 0.00 μB/f.u.
1.0
4.802 0.000 0.000
0.000 4.802 0.000
0.000 0.000 5.016
Nb P Pb S
1 1 1 2
Direct
0.000 0.000 0.000
0.000 0.000 0.500
0.500 0.500 0.500
0.000 0.500 0.000
0.500 0.000 0.000

=====

## b
NbPPbS2 | the Alexandria database | PBE-GGA | relaxed; magnetization = 1.67 μB/f.u.
1.0
5.078 0.000 0.000
0.000 5.078 0.000
0.000 0.000 5.064
Nb P Pb S
1 1 1 2
Direct
0.000 0.000 0.000
0.500 0.500 0.000
0.500 0.500 0.500
0.000 0.500 0.500
0.500 0.000 0.500

=====

a ends up most stable, edging out the next structure by 1484 meV/atom.